VASP calculation (GGA-PBE) on an optimized crystal structure of CsNdSmS3.

```
CsNdSmS3
1.0
2.3171 -8.0070 0.0000
2.3171 8.0070 0.0000
0.0000 0.0000 10.9877
Cs Nd Sm S
2 2 2 6
Cartesian
2.3171 4.2333 8.2408
2.3171 -4.2333 2.7469
2.3171 7.5675 2.7469
2.3171 -7.5675 8.2408
2.3171 0.0000 0.0000
2.3171 0.0000 5.4939
2.3171 6.2368 0.4047
2.3171 6.2368 5.0892
2.3171 0.9261 2.7469
2.3171 -0.9261 8.2408
2.3171 -6.2368 5.8986
2.3171 -6.2368 10.5830
```

The final energy comes out at -5.402 eV per atom. As for the total magnetization: 0.0 μB per formula unit.